VASP calculation (meta-GGA SCAN) on Fe2Cl2F at its PBEsol-relaxed geometry.

Cell lengths 3.707, 3.707, 11.282 Å; angles 90.00, 90.00, 90.00 degrees
Space group I4/mmm (No. 139)
Asymmetric unit:
Fe (0.000, 0.500, 0.250) (multiplicity 4)
Cl (0.000, 0.000, 0.125) (multiplicity 4)
F (0.000, 0.000, 0.500) (multiplicity 2)

Output
final energy = -116.8 eV per cell
size of the total moment = 14.00 μB per cell

---

VASP calculation (meta-GGA SCAN) on FeClO2F at its PBEsol-relaxed geometry.

Cell lengths 3.704, 3.704, 3.843 Å; angles 90.00, 90.00, 90.00 degrees
Space group P4/mmm (No. 123)
Asymmetric unit:
Fe (0.000, 0.000, 0.000) (multiplicity 1)
Cl (0.500, 0.500, 0.500) (multiplicity 1)
O (0.000, 0.500, 0.000) (multiplicity 2)
F (0.000, 0.000, 0.500) (multiplicity 1)

Output
final energy = -45.0 eV per cell
size of the total moment = 1.94 μB per cell

---

VASP calculation (meta-GGA SCAN) on FeSCl2F at its PBEsol-relaxed geometry.

Cell lengths 4.469, 4.469, 4.329 Å; angles 90.00, 90.00, 90.00 degrees
Space group P4/mmm (No. 123)
Asymmetric unit:
Fe (0.000, 0.000, 0.000) (multiplicity 1)
S (0.000, 0.000, 0.500) (multiplicity 1)
Cl (0.000, 0.500, 0.000) (multiplicity 2)
F (0.500, 0.500, 0.500) (multiplicity 1)

Output
final energy = -47.7 eV per cell
size of the total moment = 2.89 μB per cell

---

VASP calculation (meta-GGA SCAN) on GaP2ClF at its PBEsol-relaxed geometry.

Cell lengths 4.067, 4.067, 5.620 Å; angles 90.00, 90.00, 90.00 degrees
Space group P4/mmm (No. 123)
Asymmetric unit:
Ga (0.000, 0.000, 0.000) (multiplicity 1)
P (0.000, 0.500, 0.500) (multiplicity 2)
Cl (0.500, 0.500, 0.000) (multiplicity 1)
F (0.500, 0.500, 0.500) (multiplicity 1)

Output
final energy = -46.6 eV per cell
size of the total moment = 0.00 μB per cell

---

VASP calculation (meta-GGA SCAN) on GePCl2F at its PBEsol-relaxed geometry.

Cell lengths 4.670, 4.670, 4.929 Å; angles 90.00, 90.00, 90.00 degrees
Space group P4/mmm (No. 123)
Asymmetric unit:
Ge (0.000, 0.000, 0.000) (multiplicity 1)
P (0.000, 0.000, 0.500) (multiplicity 1)
Cl (0.000, 0.500, 0.000) (multiplicity 2)
F (0.500, 0.500, 0.500) (multiplicity 1)

Output
final energy = -48.4 eV per cell
size of the total moment = 1.45 μB per cell

---

VASP calculation (meta-GGA SCAN) on ReGeCl2F at its PBEsol-relaxed geometry.

Cell lengths 5.242, 5.242, 4.139 Å; angles 90.00, 90.00, 90.00 degrees
Space group P4/mmm (No. 123)
Asymmetric unit:
Re (0.000, 0.000, 0.000) (multiplicity 1)
Ge (0.500, 0.500, 0.500) (multiplicity 1)
Cl (0.000, 0.500, 0.500) (multiplicity 2)
F (0.500, 0.500, 0.000) (multiplicity 1)

Output
final energy = -108.2 eV per cell
size of the total moment = 5.99 μB per cell

---

VASP calculation (meta-GGA SCAN) on HClF2 at its PBEsol-relaxed geometry.

Cell lengths 4.814, 5.296, 5.860 Å; angles 116.69, 96.72, 101.86 degrees
Space group P1 (No. 1)
Asymmetric unit:
H (0.000, 0.000, 0.000) (multiplicity 1)
H (0.084, 0.448, 0.275) (multiplicity 1)
Cl (0.416, 0.331, 0.813) (multiplicity 1)
Cl (0.724, 0.435, 0.643) (multiplicity 1)
F (0.041, 0.221, 0.012) (multiplicity 1)
F (0.116, 0.595, 0.463) (multiplicity 1)
F (0.558, 0.158, 0.333) (multiplicity 1)
F (0.955, 0.769, 0.995) (multiplicity 1)

Output
final energy = -44.7 eV per cell
size of the total moment = 0.00 μB per cell

---

VASP calculation (meta-GGA SCAN) on NaHCl2F at its PBEsol-relaxed geometry.

Cell lengths 4.729, 4.729, 4.305 Å; angles 90.00, 90.00, 90.00 degrees
Space group P4/mmm (No. 123)
Asymmetric unit:
Na (0.000, 0.000, 0.000) (multiplicity 1)
H (0.500, 0.500, 0.000) (multiplicity 1)
Cl (0.000, 0.500, 0.500) (multiplicity 2)
F (0.000, 0.000, 0.500) (multiplicity 1)

Output
final energy = -28.2 eV per cell
size of the total moment = 1.07 μB per cell

---

VASP calculation (meta-GGA SCAN) on Hf2ClF at its PBEsol-relaxed geometry.

Cell lengths 6.263, 6.263, 6.263 Å; angles 90.00, 90.00, 90.00 degrees
Space group Fm-3m (No. 225)
Asymmetric unit:
Hf (0.250, 0.250, 0.250) (multiplicity 8)
Cl (0.000, 0.000, 0.000) (multiplicity 4)
F (0.000, 0.000, 0.500) (multiplicity 4)

Output
final energy = -555.3 eV per cell
size of the total moment = 0.00 μB per cell

---

VASP calculation (meta-GGA SCAN) on HfCl3F at its PBEsol-relaxed geometry.

Cell lengths 4.514, 4.514, 4.514 Å; angles 90.00, 90.00, 90.00 degrees
Space group Pm-3m (No. 221)
Asymmetric unit:
Hf (0.000, 0.000, 0.000) (multiplicity 1)
Cl (0.000, 0.500, 0.500) (multiplicity 3)
F (0.500, 0.500, 0.500) (multiplicity 1)

Output
final energy = -89.3 eV per cell
size of the total moment = 2.59 μB per cell

---

VASP calculation (meta-GGA SCAN) on HfClF2 at its PBEsol-relaxed geometry.

Cell lengths 4.214, 4.214, 13.882 Å; angles 90.00, 90.00, 90.00 degrees
Space group I-42d (No. 122)
Asymmetric unit:
Hf (0.000, 0.000, 0.000) (multiplicity 4)
Cl (0.000, 0.000, 0.500) (multiplicity 4)
F (0.076, 0.250, 0.125) (multiplicity 8)

Output
final energy = -350.4 eV per cell
size of the total moment = 0.00 μB per cell

---

VASP calculation (meta-GGA SCAN) on Hf3ClF at its PBEsol-relaxed geometry.

Cell lengths 4.488, 4.488, 4.488 Å; angles 90.00, 90.00, 90.00 degrees
Space group Pm-3m (No. 221)
Asymmetric unit:
Hf (0.000, 0.000, 0.500) (multiplicity 3)
Cl (0.500, 0.500, 0.500) (multiplicity 1)
F (0.000, 0.000, 0.000) (multiplicity 1)

Output
final energy = -199.5 eV per cell
size of the total moment = 0.00 μB per cell

---

VASP calculation (meta-GGA SCAN) on HfS2ClF at its PBEsol-relaxed geometry.

Cell lengths 4.866, 4.866, 4.854 Å; angles 90.00, 90.00, 90.00 degrees
Space group P4/mmm (No. 123)
Asymmetric unit:
Hf (0.000, 0.000, 0.000) (multiplicity 1)
S (0.000, 0.500, 0.000) (multiplicity 2)
Cl (0.000, 0.000, 0.500) (multiplicity 1)
F (0.500, 0.500, 0.500) (multiplicity 1)

Output
final energy = -97.6 eV per cell
size of the total moment = 1.89 μB per cell

---

VASP calculation (meta-GGA SCAN) on HgCl2F2 at its PBEsol-relaxed geometry.

Cell lengths 5.956, 5.956, 5.733 Å; angles 90.00, 90.00, 90.00 degrees
Space group P4/mbm (No. 127)
Asymmetric unit:
Hg (0.000, 0.000, 0.000) (multiplicity 2)
Cl (0.118, 0.382, 0.500) (multiplicity 4)
F (0.179, 0.679, 0.000) (multiplicity 4)

Output
final energy = -189.6 eV per cell
size of the total moment = 0.00 μB per cell

---

VASP calculation (meta-GGA SCAN) on HgCl2F at its PBEsol-relaxed geometry.

Cell lengths 4.9151, 4.9151, 18.7412 Å; angles 90.00, 90.00, 120.00 degrees
Space group R-3m (No. 166, hexagonal axes)
Asymmetric unit:
Hg (0.0000, 0.0000, 0.0000) (multiplicity 3)
Cl (0.0000, 0.0000, 0.1197) (multiplicity 6)
F (0.0000, 0.0000, 0.5000) (multiplicity 3)

Output
final energy = -264.5 eV per cell
size of the total moment = 3.00 μB per cell

---

VASP calculation (meta-GGA SCAN) on HgClF3 at its PBEsol-relaxed geometry.

Cell lengths 4.284, 4.284, 4.284 Å; angles 90.00, 90.00, 90.00 degrees
Space group Pm-3m (No. 221)
Asymmetric unit:
Hg (0.000, 0.000, 0.000) (multiplicity 1)
Cl (0.500, 0.500, 0.500) (multiplicity 1)
F (0.000, 0.500, 0.500) (multiplicity 3)

Output
final energy = -87.6 eV per cell
size of the total moment = 1.22 μB per cell

---

VASP calculation (meta-GGA SCAN) on HgPCl2F at its PBEsol-relaxed geometry.

Cell lengths 4.968, 4.968, 5.153 Å; angles 90.00, 90.00, 90.00 degrees
Space group P4/mmm (No. 123)
Asymmetric unit:
Hg (0.000, 0.000, 0.000) (multiplicity 1)
P (0.000, 0.000, 0.500) (multiplicity 1)
Cl (0.000, 0.500, 0.000) (multiplicity 2)
F (0.500, 0.500, 0.500) (multiplicity 1)

Output
final energy = -95.8 eV per cell
size of the total moment = 1.10 μB per cell

---

VASP calculation (meta-GGA SCAN) on Ta2HgClF at its PBEsol-relaxed geometry.

Cell lengths 4.197, 4.197, 4.932 Å; angles 90.00, 90.00, 90.00 degrees
Space group P4/mmm (No. 123)
Asymmetric unit:
Ta (0.000, 0.500, 0.000) (multiplicity 2)
Hg (0.000, 0.000, 0.500) (multiplicity 1)
Cl (0.500, 0.500, 0.500) (multiplicity 1)
F (0.500, 0.500, 0.000) (multiplicity 1)

Output
final energy = -211.2 eV per cell
size of the total moment = 0.00 μB per cell

---

VASP calculation (meta-GGA SCAN) on IClF2 at its PBEsol-relaxed geometry.

Cell lengths 3.1837, 3.1837, 27.3190 Å; angles 90.00, 90.00, 120.00 degrees
Space group R-3m (No. 166, hexagonal axes)
Asymmetric unit:
I (0.0000, 0.0000, 0.0000) (multiplicity 3)
Cl (0.0000, 0.0000, 0.5000) (multiplicity 3)
F (0.0000, 0.0000, 0.4356) (multiplicity 6)

Output
final energy = -158.7 eV per cell
size of the total moment = 0.01 μB per cell

---

VASP calculation (meta-GGA SCAN) on IClOF at its PBEsol-relaxed geometry.

Cell lengths 12.622, 7.105, 7.694 Å; angles 90.00, 93.60, 90.00 degrees
Space group P2_1/c (No. 14)
Asymmetric unit:
I (0.083, 0.111, 0.175) (multiplicity 4)
I (0.278, 0.048, 0.846) (multiplicity 4)
Cl (0.344, 0.739, 0.467) (multiplicity 4)
Cl (0.432, 0.114, 0.696) (multiplicity 4)
O (0.104, 0.026, 0.952) (multiplicity 4)
O (0.220, 0.157, 0.248) (multiplicity 4)
F (0.075, 0.135, 0.567) (multiplicity 4)
F (0.104, 0.651, 0.748) (multiplicity 4)

Output
final energy = -457.8 eV per cell
size of the total moment = 0.00 μB per cell

---

VASP calculation (meta-GGA SCAN) on P2IClF at its PBEsol-relaxed geometry.

Cell lengths 5.231, 5.231, 5.230 Å; angles 90.00, 90.00, 90.00 degrees
Space group P4/mmm (No. 123)
Asymmetric unit:
P (0.000, 0.500, 0.000) (multiplicity 2)
I (0.000, 0.000, 0.000) (multiplicity 1)
Cl (0.000, 0.000, 0.500) (multiplicity 1)
F (0.500, 0.500, 0.500) (multiplicity 1)

Output
final energy = -63.6 eV per cell
size of the total moment = 3.63 μB per cell

---

VASP calculation (meta-GGA SCAN) on PtIClF2 at its PBEsol-relaxed geometry.

Cell lengths 4.282, 4.282, 5.113 Å; angles 90.00, 90.00, 90.00 degrees
Space group P4/mmm (No. 123)
Asymmetric unit:
Pt (0.000, 0.000, 0.000) (multiplicity 1)
I (0.000, 0.000, 0.500) (multiplicity 1)
Cl (0.500, 0.500, 0.000) (multiplicity 1)
F (0.000, 0.500, 0.500) (multiplicity 2)

Output
final energy = -123.2 eV per cell
size of the total moment = 0.00 μB per cell

---

VASP calculation (meta-GGA SCAN) on SbICl2F6 at its PBEsol-relaxed geometry.

Cell lengths 10.525, 12.027, 13.002 Å; angles 90.00, 90.00, 90.00 degrees
Space group Cmce (No. 64)
Asymmetric unit:
Sb (0.000, 0.206, 0.059) (multiplicity 8)
I (0.250, 0.092, 0.750) (multiplicity 8)
Cl (0.162, 0.034, 0.361) (multiplicity 16)
F (0.000, 0.069, 0.132) (multiplicity 8)
F (0.000, 0.151, 0.497) (multiplicity 8)
F (0.128, 0.240, 0.655) (multiplicity 16)
F (0.130, 0.158, 0.969) (multiplicity 16)

Output
final energy = -1025.0 eV per cell
size of the total moment = 0.00 μB per cell

---

VASP calculation (meta-GGA SCAN) on InCl2F at its PBEsol-relaxed geometry.

Cell lengths 6.322, 6.322, 6.322 Å; angles 90.00, 90.00, 90.00 degrees
Space group Fm-3m (No. 225)
Asymmetric unit:
In (0.000, 0.000, 0.000) (multiplicity 4)
Cl (0.250, 0.250, 0.250) (multiplicity 8)
F (0.000, 0.000, 0.500) (multiplicity 4)

Output
final energy = -226.8 eV per cell
size of the total moment = 0.00 μB per cell

---

VASP calculation (meta-GGA SCAN) on InClF2 at its PBEsol-relaxed geometry.

Cell lengths 6.580, 9.187, 5.994 Å; angles 90.00, 122.24, 90.00 degrees
Space group Cc (No. 9)
Asymmetric unit:
In (0.000, 0.157, 0.000) (multiplicity 4)
Cl (0.060, 0.364, 0.302) (multiplicity 4)
F (0.046, 0.001, 0.777) (multiplicity 4)
F (0.370, 0.196, 0.178) (multiplicity 4)

Output
final energy = -228.6 eV per cell
polymorph energy (0 for the lowest one) = 0.000 eV/atom
size of the total moment = 0.01 μB per cell